VASP calculation (PBE) on crystalline LaMnTe2N at its relaxed geometry. Values from VASP.

Calculated values
* space-group type: No. 123
* crystal system: tetragonal
* offset from the most stable computed form: 0.9259 eV per atom
* energy relative to the elements, uncorrected: 2.16 eV per formula unit
* N(E_F): 3.9 states/eV per cell

```
&SYSTEM
  ibrav = 0, nat = 5, ntyp = 4
/
ATOMIC_SPECIES
La 138.91 La.upf
Mn 54.94 Mn.upf
Te 127.60 Te.upf
N 14.01 N.upf
CELL_PARAMETERS angstrom
6.375 0.000 0.000
0.000 6.375 0.000
0.000 0.000 4.021
ATOMIC_POSITIONS crystal
La 0.000 0.000 0.000
Mn 0.500 0.500 0.500
Te 0.000 0.500 0.000
Te 0.500 0.000 0.000
N 0.000 0.000 0.500
```